Computed, not measured: crystalline HfTh2Co7Si2 at its relaxed geometry at the GGA-PBE level of DFT.

Computed properties:
M_tot in μB per formula unit: 1.0
Space-group type: No. 65
Crystal system: orthorhombic
Total DFT energy (no corrections) in eV per atom: -7.61
Calculated volume in Å³ per cell: 182
Formation energy from raw total energies in meV per atom: -495

a = 11.9356 Å, b = 11.9356 Å, c = 3.9595 Å
α = 90.00°, β = 90.00°, γ = 161.20°
Atoms (fractional coordinates):
Hf1 0.0000 0.0000 0.0000
Th1 0.1752 0.8248 0.0000
Th2 0.8248 0.1752 0.0000
Co1 0.0729 0.9271 0.5000
Co2 0.2769 0.7231 0.5000
Co3 0.4257 0.5743 0.0000
Co4 0.5000 0.5000 0.5000
Co5 0.5743 0.4257 0.0000
Co6 0.7231 0.2769 0.5000
Co7 0.9271 0.0729 0.5000
Si1 0.3783 0.6217 0.5000
Si2 0.6217 0.3783 0.5000